A plane-wave DFT calculation with GGA-PBE was carried out for Ce2BeGa3 after structural relaxation.

Results
**Crystal system**: orthorhombic
**Raw total energy**: -0.335 Ry/atom
**DFT formation energy**: -444 meV per atom
**N(E_F)**: 1.748 states/eV/atom

Unit cell a=5.909 b=5.909 c=8.344 alpha=110.94 beta=110.94 gamma=89.46
Element x y z (fractional)
Ce (0.250, 0.750, 0.500)
Ce (0.755, 0.755, 0.000)
Ce (0.750, 0.250, 0.500)
Ce (0.245, 0.245, 0.000)
Be (0.667, 0.667, 0.333)
Be (0.333, 0.333, 0.667)
Ga (0.349, 0.824, 0.174)
Ga (0.176, 0.651, 0.826)
Ga (0.651, 0.176, 0.826)
Ga (0.824, 0.349, 0.174)
Ga (0.174, 0.174, 0.348)
Ga (0.826, 0.826, 0.652)